[1]
A relaxed TbThPd6 crystal. Source: Alexandria, functional PBE-GGA.

## Properties
- space-group type = No. 123
- total energy (eV for the cell shown) = -50.85
- crystal system = tetragonal

a = 4.1759 Å, b = 4.1759 Å, c = 8.3218 Å
α = 90.00°, β = 90.00°, γ = 90.00°
Fractional coordinates of all 8 atoms:
Tb (0.0000, 0.0000, 0.0000)
Th (0.0000, 0.0000, 0.5000)
Pd (0.0000, 0.5000, 0.2491)
Pd (0.0000, 0.5000, 0.7509)
Pd (0.5000, 0.0000, 0.2491)
Pd (0.5000, 0.0000, 0.7509)
Pd (0.5000, 0.5000, 0.0000)
Pd (0.5000, 0.5000, 0.5000)

---

[2]
A relaxed TbTh2Pd2 crystal. Source: Alexandria, functional PBE-GGA.

## Properties
- space-group type = No. 127
- distance to the lowest polymorph of the same formula (meV/atom) = 0.0
- total energy (eV for the cell shown) = -66.01
- crystal system = tetragonal

a = 8.1214 Å, b = 8.1214 Å, c = 3.8715 Å
α = 90.00°, β = 90.00°, γ = 90.00°
Fractional coordinates of all 10 atoms:
Tb (0.0000, 0.0000, 0.0000)
Tb (0.5000, 0.5000, 0.0000)
Th (0.1718, 0.3282, 0.5000)
Th (0.3282, 0.8282, 0.5000)
Th (0.6718, 0.1718, 0.5000)
Th (0.8282, 0.6718, 0.5000)
Pd (0.1270, 0.6270, 0.0000)
Pd (0.3730, 0.1270, 0.0000)
Pd (0.6270, 0.8730, 0.0000)
Pd (0.8730, 0.3730, 0.0000)

---

[3]
A relaxed TbTh2Pd crystal. Source: Alexandria, functional PBE-GGA.

## Properties
- space-group type = No. 123
- distance to the lowest polymorph of the same formula (meV/atom) = 116.2
- total energy (eV for the cell shown) = -25.76
- crystal system = tetragonal

a = 3.6732 Å, b = 3.6732 Å, c = 8.3706 Å
α = 90.00°, β = 90.00°, γ = 90.00°
Fractional coordinates of all 4 atoms:
Tb (0.0000, 0.0000, 0.0000)
Th (0.5000, 0.5000, 0.2910)
Th (0.5000, 0.5000, 0.7090)
Pd (0.0000, 0.0000, 0.5000)

---

[4]
A relaxed TbTh4Pd4 crystal. Source: Alexandria, functional PBE-GGA.

## Properties
- space-group type = No. 86
- total energy (eV for the cell shown) = -119.74
- crystal system = tetragonal

a = 8.9732 Å, b = 8.9732 Å, c = 6.0235 Å
α = 90.00°, β = 90.00°, γ = 90.00°
Fractional coordinates of all 18 atoms:
Tb (0.2500, 0.2500, 0.2500)
Tb (0.7500, 0.7500, 0.7500)
Th (0.0492, 0.6652, 0.1532)
Th (0.1652, 0.9508, 0.6532)
Th (0.3348, 0.5492, 0.6532)
Th (0.4508, 0.8348, 0.1532)
Th (0.5492, 0.1652, 0.8468)
Th (0.6652, 0.4508, 0.3468)
Th (0.8348, 0.0492, 0.3468)
Th (0.9508, 0.3348, 0.8468)
Pd (0.0330, 0.6374, 0.6412)
Pd (0.1374, 0.9670, 0.1412)
Pd (0.3626, 0.5330, 0.1412)
Pd (0.4670, 0.8626, 0.6412)
Pd (0.5330, 0.1374, 0.3588)
Pd (0.6374, 0.4670, 0.8588)
Pd (0.8626, 0.0330, 0.8588)
Pd (0.9670, 0.3626, 0.3588)

---

[5]
A relaxed TbTh2Pd2 crystal. Source: Alexandria, functional PBE-GGA.

## Properties
- space-group type = No. 71
- distance to the lowest polymorph of the same formula (meV/atom) = 77.0
- total energy (eV for the cell shown) = -32.62
- crystal system = orthorhombic

a = 6.2935 Å, b = 6.2935 Å, c = 6.2935 Å
α = 144.24°, β = 113.62°, γ = 77.75°
Fractional coordinates of all 5 atoms:
Tb (0.0000, 0.0000, 0.0000)
Th (0.3024, 0.8024, 0.5000)
Th (0.6976, 0.1976, 0.5000)
Pd (0.2994, 0.5000, 0.7994)
Pd (0.7006, 0.5000, 0.2006)

---

[6]
A relaxed TbThPd3 crystal. Source: Alexandria, functional PBE-GGA.

## Properties
- space-group type = No. 11
- distance to the lowest polymorph of the same formula (meV/atom) = 42.5
- total energy (eV for the cell shown) = -63.15
- crystal system = monoclinic

a = 5.3702 Å, b = 5.6548 Å, c = 7.3152 Å
α = 90.00°, β = 102.40°, γ = 90.00°
Fractional coordinates of all 10 atoms:
Tb (0.0842, 0.2500, 0.1414)
Tb (0.9158, 0.7500, 0.8586)
Th (0.2541, 0.2500, 0.6305)
Th (0.7459, 0.7500, 0.3695)
Pd (0.2125, 0.7500, 0.2414)
Pd (0.3367, 0.7500, 0.6417)
Pd (0.5000, 0.0000, 0.0000)
Pd (0.5000, 0.5000, 0.0000)
Pd (0.6633, 0.2500, 0.3583)
Pd (0.7875, 0.2500, 0.7586)

---

[7]
A relaxed TbTh2Pd crystal. Source: Alexandria, functional PBE-GGA.

## Properties
- space-group type = No. 63
- distance to the lowest polymorph of the same formula (meV/atom) = 0.0
- total energy (eV for the cell shown) = -52.44
- crystal system = orthorhombic

a = 6.1895 Å, b = 6.1895 Å, c = 10.3251 Å
α = 90.00°, β = 90.00°, γ = 144.94°
Fractional coordinates of all 8 atoms:
Tb (0.0817, 0.9183, 0.7500)
Tb (0.9183, 0.0817, 0.2500)
Th (0.3651, 0.6349, 0.5500)
Th (0.3651, 0.6349, 0.9500)
Th (0.6349, 0.3651, 0.0500)
Th (0.6349, 0.3651, 0.4500)
Pd (0.2186, 0.7814, 0.2500)
Pd (0.7814, 0.2186, 0.7500)

---

[8]
A relaxed TbTh2Pd crystal. Source: Alexandria, functional PBE-GGA.

## Properties
- space-group type = No. 166
- distance to the lowest polymorph of the same formula (meV/atom) = 175.9
- total energy (eV for the cell shown) = -25.52
- crystal system = trigonal

a = 10.0218 Å, b = 10.0218 Å, c = 10.0218 Å
α = 21.40°, β = 21.40°, γ = 21.40°
Fractional coordinates of all 4 atoms:
Tb (0.0000, 0.0000, 0.0000)
Th (0.2366, 0.2366, 0.2366)
Th (0.7634, 0.7634, 0.7634)
Pd (0.5000, 0.5000, 0.5000)

---

[9]
A relaxed TbThPd3 crystal. Source: Alexandria, functional PBE-GGA.

## Properties
- space-group type = No. 59
- distance to the lowest polymorph of the same formula (meV/atom) = 0.0
- total energy (eV for the cell shown) = -63.57
- crystal system = orthorhombic

a = 4.3011 Å, b = 5.8255 Å, c = 8.9791 Å
α = 90.00°, β = 90.00°, γ = 90.00°
Fractional coordinates of all 10 atoms:
Tb (0.2500, 0.2500, 0.0511)
Tb (0.7500, 0.7500, 0.9489)
Th (0.2500, 0.7500, 0.3894)
Th (0.7500, 0.2500, 0.6106)
Pd (0.2500, 0.2500, 0.3759)
Pd (0.2500, 0.5087, 0.7734)
Pd (0.2500, 0.9913, 0.7734)
Pd (0.7500, 0.0087, 0.2266)
Pd (0.7500, 0.4913, 0.2266)
Pd (0.7500, 0.7500, 0.6241)

---

[10]
A relaxed Tb2ThPd9 crystal. Source: Alexandria, functional PBE-GGA.

## Properties
- space-group type = No. 123
- total energy (eV for the cell shown) = -74.47
- crystal system = tetragonal

a = 4.1621 Å, b = 4.1621 Å, c = 12.4643 Å
α = 90.00°, β = 90.00°, γ = 90.00°
Fractional coordinates of all 12 atoms:
Tb (0.0000, 0.0000, 0.1632)
Tb (0.0000, 0.0000, 0.8368)
Th (0.0000, 0.0000, 0.5000)
Pd (0.0000, 0.5000, 0.0000)
Pd (0.0000, 0.5000, 0.3323)
Pd (0.0000, 0.5000, 0.6677)
Pd (0.5000, 0.0000, 0.0000)
Pd (0.5000, 0.0000, 0.3323)
Pd (0.5000, 0.0000, 0.6677)
Pd (0.5000, 0.5000, 0.1661)
Pd (0.5000, 0.5000, 0.5000)
Pd (0.5000, 0.5000, 0.8339)

---

[11]
A relaxed TbThTlPd crystal. Source: Alexandria, functional PBE-GGA.

## Properties
- space-group type = No. 216
- total energy (eV for the cell shown) = -21.13
- crystal system = cubic

a = 5.2813 Å, b = 5.2813 Å, c = 5.2813 Å
α = 60.00°, β = 60.00°, γ = 60.00°
Fractional coordinates of all 4 atoms:
Tb (0.0000, 0.0000, 0.0000)
Th (0.5000, 0.5000, 0.5000)
Tl (0.7500, 0.7500, 0.7500)
Pd (0.2500, 0.2500, 0.2500)

---

[12]
A relaxed TbThZnPd crystal. Source: Alexandria, functional PBE-GGA.

## Properties
- space-group type = No. 216
- total energy (eV for the cell shown) = -20.37
- crystal system = cubic

a = 5.1065 Å, b = 5.1065 Å, c = 5.1065 Å
α = 60.00°, β = 60.00°, γ = 60.00°
Fractional coordinates of all 4 atoms:
Tb (0.0000, 0.0000, 0.0000)
Th (0.5000, 0.5000, 0.5000)
Zn (0.7500, 0.7500, 0.7500)
Pd (0.2500, 0.2500, 0.2500)